1.
ScAlCoNi | PBE-GGA | optimized geometry

## Properties
- Energy above the lowest structure with this stoichiometry: 0 meV per atom

abc: 6.000 6.000 6.000
angles: 90.00 90.00 90.00
Space group F-43m (No. 216)
One atom of each set of equivalent atoms:
Sc: 0.000 0.000 0.000 (multiplicity 4)
Al: 0.000 0.000 0.500 (multiplicity 4)
Co: 0.250 0.250 0.750 (multiplicity 4)
Ni: 0.250 0.250 0.250 (multiplicity 4)

2.
Sc2Al4CoNi | PBE-GGA | optimized geometry

## Properties
- Raw total energy: -90.4 eV per cell

abc: 6.737 3.999 9.452
angles: 90.00 90.00 90.00
Space group Amm2 (No. 38)
One atom of each set of equivalent atoms:
Sc: 0.000 0.000 0.000 (multiplicity 2)
Sc: 0.500 0.000 0.131 (multiplicity 2)
Al: 0.199 0.000 0.714 (multiplicity 4)
Al: 0.303 0.000 0.418 (multiplicity 4)
Co: 0.500 0.000 0.856 (multiplicity 2)
Ni: 0.000 0.000 0.278 (multiplicity 2)

3.
Zr3Al3CoNi2 | PBE-GGA | optimized geometry

## Properties
- Raw total energy: -60.6 eV per cell

abc: 6.8611 6.8611 3.5342
angles: 90.00 90.00 120.00
Space group P-62m (No. 189)
One atom of each set of equivalent atoms:
Zr: 0.0000 0.5922 0.0000 (multiplicity 3)
Al: 0.0000 0.2488 0.5000 (multiplicity 3)
Co: 0.0000 0.0000 0.0000 (multiplicity 1)
Ni: 0.3333 0.6667 0.5000 (multiplicity 2)

4.
NpAlCo | PBE-GGA | optimized geometry

## Properties
- Raw total energy: -93.6 eV per cell

abc: 6.026 6.026 6.026
angles: 90.00 90.00 90.00
Space group F-43m (No. 216)
One atom of each set of equivalent atoms:
Np: 0.000 0.000 0.000 (multiplicity 4)
Al: 0.000 0.000 0.500 (multiplicity 4)
Co: 0.250 0.250 0.750 (multiplicity 4)